Arrangement w

Here is a relaxed structure of LiCd4Hg5 from Alexandria. Energies are from PBE-GGA.

POSCAR file:
```
LiCd4Hg5
1.0
5.964 0.000 0.000
2.982 6.467 0.000
2.982 0.000 6.467
Li Cd Hg
1 4 5
Cartesian
1.113 0.000 0.000 Li
5.694 2.435 5.037 Cd
8.676 5.037 4.032 Cd
2.712 1.430 2.435 Cd
5.694 4.032 1.430 Cd
8.713 2.340 5.344 Hg
5.732 5.344 4.126 Hg
5.732 1.123 2.340 Hg
2.750 4.126 1.123 Hg
3.936 0.000 0.000 Hg
```

## Properties
- Volume: 24.9 Å³/atom

Arrangement x

Here is a relaxed structure of LiCd4Hg5 from Alexandria. Energies are from PBE-GGA.

POSCAR file:
```
LiCd4Hg5
1.0
-0.814 -1.009 4.286
-2.673 -3.271 2.907
7.752 -16.200 19.074
Li Cd Hg
1 4 5
Cartesian
0.000 0.000 0.000 Li
1.404 -3.156 3.720 Cd
3.067 -6.442 7.619 Cd
1.199 -14.038 18.648 Cd
2.861 -17.324 22.546 Cd
-1.095 -3.677 5.352 Hg
0.513 -6.932 9.294 Hg
2.133 -10.240 13.133 Hg
3.753 -13.548 16.973 Hg
5.361 -16.803 20.914 Hg
```

## Properties
- Volume: 23.2 Å³/atom

Short version: arrangement w is the least stable of them.

Arrangement w

Here is a relaxed structure of LiCd2Hg7 from Alexandria. Energies are from PBE-GGA.

POSCAR file:
```
LiCd2Hg7
1.0
5.735 0.000 2.797
1.810 7.754 3.568
-1.476 0.251 10.305
Li Cd Hg
2 4 14
Cartesian
0.010 2.127 8.945 Li
6.060 5.879 7.726 Li
4.389 7.185 12.183 Cd
4.737 3.182 5.498 Cd
1.332 4.824 11.172 Cd
1.681 0.821 4.487 Cd
3.885 4.130 12.811 Hg
4.553 0.127 6.282 Hg
1.673 7.171 13.550 Hg
2.350 2.285 7.280 Hg
2.984 2.127 10.395 Hg
5.333 3.168 8.480 Hg
1.615 1.718 1.509 Hg
4.455 6.288 15.161 Hg
0.737 4.838 8.191 Hg
3.085 5.879 6.275 Hg
3.719 5.720 9.391 Hg
4.397 0.835 3.120 Hg
1.516 7.878 10.388 Hg
2.185 3.875 3.859 Hg
```

## Properties
- Volume: 24.3 Å³/atom

Arrangement x

Here is a relaxed structure of LiCd2Hg7 from Alexandria. Energies are from PBE-GGA.

POSCAR file:
```
LiCd2Hg7
1.0
-2.062 3.202 -2.953
2.721 -3.542 -1.809
-10.369 -7.507 -0.900
Li Cd Hg
1 2 7
Cartesian
-0.008 -0.005 -0.001 Li
-5.895 -6.378 -2.800 Cd
-4.061 -1.648 -2.883 Cd
-6.516 -3.426 -3.097 Hg
-9.454 -5.552 -3.352 Hg
-7.957 -5.761 -0.691 Hg
-2.470 -1.789 -0.215 Hg
-3.341 -4.529 -2.578 Hg
-9.150 -8.734 -3.082 Hg
-1.655 0.094 -2.674 Hg
```

## Properties
- Volume: 25.8 Å³/atom

Short version: arrangement x is the least stable of them.

Arrangement w

Here is a relaxed structure of Li3Cd2Hg3 from Alexandria. Energies are from PBE-GGA.

POSCAR file:
```
Li3Cd2Hg3
1.0
3.340 0.000 0.000
0.000 6.519 -3.764
0.000 0.000 7.528
Li Cd Hg
3 2 3
Cartesian
1.670 2.427 1.401 Li
1.670 4.092 -2.363 Li
1.670 0.000 4.725 Li
0.000 2.173 3.764 Cd
0.000 4.346 0.000 Cd
0.000 4.974 2.871 Hg
0.000 1.546 -0.893 Hg
0.000 0.000 1.785 Hg
```

## Properties
- Volume: 20.5 Å³/atom

Arrangement x

Here is a relaxed structure of Li3Cd2Hg3 from Alexandria. Energies are from PBE-GGA.

POSCAR file:
```
Li3Cd2Hg3
1.0
-0.385 0.438 3.399
2.444 -3.969 0.788
7.290 6.944 -1.818
Li Cd Hg
3 2 3
Cartesian
2.092 1.302 0.069 Li
1.222 -1.984 0.394 Li
7.257 2.111 2.299 Li
4.136 2.913 1.843 Cd
5.214 0.500 0.526 Cd
2.880 -0.614 2.155 Hg
6.470 4.027 0.214 Hg
-0.192 0.219 1.700 Hg
```

## Properties
- Volume: 20.0 Å³/atom

Short version: arrangement w is the least stable of them.

Arrangement w

Here is a relaxed structure of Li2Cd2Hg5 from Alexandria. Energies are from PBE-GGA.

POSCAR file:
```
Li2Cd2Hg5
1.0
7.646 0.000 0.000
0.000 7.548 0.000
0.000 -3.774 7.343
Li Cd Hg
4 4 10
Cartesian
4.966 6.433 0.000 Li
2.679 1.115 0.000 Li
1.143 4.889 0.000 Li
6.502 2.659 0.000 Li
0.000 0.000 2.965 Cd
3.823 3.774 2.965 Cd
0.000 3.774 4.378 Cd
3.823 0.000 4.378 Cd
0.000 0.000 0.000 Hg
3.823 3.774 0.000 Hg
6.509 4.900 1.862 Hg
1.136 2.648 1.862 Hg
2.686 6.423 1.862 Hg
4.959 1.126 1.862 Hg
1.136 -1.126 5.481 Hg
6.509 1.126 5.481 Hg
4.959 -2.648 5.481 Hg
2.686 2.648 5.481 Hg
```

## Properties
- Volume: 23.5 Å³/atom

Arrangement x

Here is a relaxed structure of Li2Cd2Hg5 from Alexandria. Energies are from PBE-GGA.

POSCAR file:
```
Li2Cd2Hg5
1.0
5.264 -0.276 0.762
-3.323 5.135 -3.146
1.141 0.998 7.555
Li Cd Hg
2 2 5
Cartesian
0.334 4.724 3.620 Li
2.748 1.133 1.551 Li
1.035 1.609 4.651 Cd
2.047 4.247 0.520 Cd
-0.511 3.444 -1.025 Hg
3.593 2.413 6.196 Hg
0.137 2.373 1.861 Hg
2.945 3.484 3.310 Hg
0.000 0.000 0.000 Hg
```

## Properties
- Volume: 23.1 Å³/atom

Short version: arrangement w is the least stable of them.